Below is crystalline AcTaVO6 at its relaxed geometry, with properties calculated at the GGA+U level.

abc: 5.3615 5.2746 5.2746
angles: 120.00 90.00 90.00
Last column: nearest neighbours and their distance in Å.
Fractional coordinates of all 9 atoms:
Ac1 0.0000 0.3333 0.6667  6 O 2.54
Ta1 0.5000 0.6667 0.3333  6 O 2.00
V1 0.5000 0.0000 0.0000  6 O 1.97
O1 0.7055 0.7137 0.6707  1 V 1.97, 1 Ta 2.00
O2 0.7055 0.3293 0.0430  1 V 1.97, 1 Ta 2.00
O3 0.7055 0.9570 0.2863  1 V 1.97, 1 Ta 2.00
O4 0.2945 0.3293 0.2863  1 V 1.97, 1 Ta 2.00
O5 0.2945 0.7137 0.0430  1 V 1.97, 1 Ta 2.00
O6 0.2945 0.9570 0.6707  1 V 1.97, 1 Ta 2.00

Values from the calculation:
Calculated total energy, eV/atom: -8.740
V, Å³/atom: 14.353